Model one:
The following is a DFT calculation (PBE) of crystalline TbSmDyCd at its relaxed geometry. Values from VASP.

Cell and atoms, written as Quantum ESPRESSO input:
```
&SYSTEM
  ibrav = 0, nat = 4, ntyp = 4
/
ATOMIC_SPECIES
Tb 158.93 Tb.upf
Sm 150.36 Sm.upf
Dy 162.50 Dy.upf
Cd 112.41 Cd.upf
CELL_PARAMETERS angstrom
0.000 3.874 3.874
3.874 0.000 3.874
3.874 3.874 0.000
ATOMIC_POSITIONS angstrom
Tb 0.000 0.000 0.000
Sm 5.811 5.811 5.811
Dy 1.937 1.937 1.937
Cd 3.874 3.874 3.874
```

=====

Model two:
The following is a DFT calculation (PBE) of crystalline TbSmDyCd at its relaxed geometry. Values from VASP.

Cell and atoms, written as Quantum ESPRESSO input:
```
&SYSTEM
  ibrav = 0, nat = 4, ntyp = 4
/
ATOMIC_SPECIES
Tb 158.93 Tb.upf
Sm 150.36 Sm.upf
Dy 162.50 Dy.upf
Cd 112.41 Cd.upf
CELL_PARAMETERS angstrom
3.615 0.000 0.000
0.000 3.615 0.000
0.000 0.000 9.058
ATOMIC_POSITIONS angstrom
Tb 0.000 0.000 0.000
Sm 1.808 1.808 2.506
Dy 0.000 0.000 5.000
Cd 1.808 1.808 7.015
```

=====

It comes down to model two, which is 0.131 eV/atom more stable than the next structure.

=====

Model one:
The following is a DFT calculation (PBE) of crystalline SmDyZnCd at its relaxed geometry. Values from VASP.

Cell and atoms, written as Quantum ESPRESSO input:
```
&SYSTEM
  ibrav = 0, nat = 4, ntyp = 4
/
ATOMIC_SPECIES
Sm 150.36 Sm.upf
Dy 162.50 Dy.upf
Zn 65.41 Zn.upf
Cd 112.41 Cd.upf
CELL_PARAMETERS angstrom
3.632 0.000 0.000
0.000 3.632 0.000
0.000 0.000 7.616
ATOMIC_POSITIONS angstrom
Sm 0.000 0.000 0.000
Dy 0.000 0.000 3.504
Zn 1.816 1.816 1.835
Cd 1.816 1.816 5.489
```

=====

Model two:
The following is a DFT calculation (PBE) of crystalline SmDyZnCd at its relaxed geometry. Values from VASP.

Cell and atoms, written as Quantum ESPRESSO input:
```
&SYSTEM
  ibrav = 0, nat = 4, ntyp = 4
/
ATOMIC_SPECIES
Sm 150.36 Sm.upf
Dy 162.50 Dy.upf
Zn 65.41 Zn.upf
Cd 112.41 Cd.upf
CELL_PARAMETERS angstrom
0.000 3.702 3.702
3.702 0.000 3.702
3.702 3.702 0.000
ATOMIC_POSITIONS angstrom
Sm 0.000 0.000 0.000
Dy 3.702 3.702 3.702
Zn 1.851 1.851 1.851
Cd 5.552 5.552 5.552
```

=====

It comes down to model one, which is 0.024 eV/atom more stable than the next structure.

=====

Model one:
The following is a DFT calculation (PBE) of crystalline Sr2DyCd at its relaxed geometry. Values from VASP.

Cell and atoms, written as Quantum ESPRESSO input:
```
&SYSTEM
  ibrav = 0, nat = 4, ntyp = 3
/
ATOMIC_SPECIES
Sr 87.62 Sr.upf
Dy 162.50 Dy.upf
Cd 112.41 Cd.upf
CELL_PARAMETERS angstrom
4.273 0.000 0.000
0.000 4.273 0.000
0.000 0.000 8.074
ATOMIC_POSITIONS angstrom
Sr 0.000 0.000 1.871
Sr 0.000 0.000 6.203
Dy 2.136 2.136 4.037
Cd 2.136 2.136 0.000
```

=====

Model two:
The following is a DFT calculation (PBE) of crystalline Sr2DyCd at its relaxed geometry. Values from VASP.

Cell and atoms, written as Quantum ESPRESSO input:
```
&SYSTEM
  ibrav = 0, nat = 4, ntyp = 3
/
ATOMIC_SPECIES
Sr 87.62 Sr.upf
Dy 162.50 Dy.upf
Cd 112.41 Cd.upf
CELL_PARAMETERS angstrom
1.906 1.100 12.425
-1.906 1.100 12.425
0.000 -2.201 12.425
ATOMIC_POSITIONS angstrom
Sr 0.000 0.000 3.566
Sr 0.000 0.000 33.708
Dy 0.000 0.000 0.000
Cd 0.000 0.000 18.637
```

=====

It comes down to model one, which is 0.212 eV/atom more stable than the next structure.

=====

Model one:
The following is a DFT calculation (PBE) of crystalline SrDyTlCd at its relaxed geometry. Values from VASP.

Cell and atoms, written as Quantum ESPRESSO input:
```
&SYSTEM
  ibrav = 0, nat = 4, ntyp = 4
/
ATOMIC_SPECIES
Sr 87.62 Sr.upf
Dy 162.50 Dy.upf
Tl 204.38 Tl.upf
Cd 112.41 Cd.upf
CELL_PARAMETERS angstrom
0.000 3.912 3.912
3.912 0.000 3.912
3.912 3.912 0.000
ATOMIC_POSITIONS angstrom
Sr 0.000 0.000 0.000
Dy 3.912 3.912 3.912
Tl 5.867 5.867 5.867
Cd 1.956 1.956 1.956
```

=====

Model two:
The following is a DFT calculation (PBE) of crystalline SrDyTlCd at its relaxed geometry. Values from VASP.

Cell and atoms, written as Quantum ESPRESSO input:
```
&SYSTEM
  ibrav = 0, nat = 4, ntyp = 4
/
ATOMIC_SPECIES
Sr 87.62 Sr.upf
Dy 162.50 Dy.upf
Tl 204.38 Tl.upf
Cd 112.41 Cd.upf
CELL_PARAMETERS angstrom
3.875 0.000 0.000
0.000 3.875 0.000
0.000 0.000 7.981
ATOMIC_POSITIONS angstrom
Sr 0.000 0.000 0.000
Dy 0.000 0.000 3.919
Tl 1.937 1.937 5.757
Cd 1.937 1.937 2.209
```

=====

It comes down to model two, which is 0.038 eV/atom more stable than the next structure.

=====

Model one:
The following is a DFT calculation (PBE) of crystalline Tb2Dy6Cd at its relaxed geometry. Values from VASP.

Cell and atoms, written as Quantum ESPRESSO input:
```
&SYSTEM
  ibrav = 0, nat = 18, ntyp = 3
/
ATOMIC_SPECIES
Tb 158.93 Tb.upf
Dy 162.50 Dy.upf
Cd 112.41 Cd.upf
CELL_PARAMETERS angstrom
7.466 -4.197 0.000
7.466 4.197 0.000
-1.506 0.000 8.958
ATOMIC_POSITIONS angstrom
Tb 2.819 0.761 3.205
Tb 2.066 -0.761 7.684
Tb 11.359 0.761 1.274
Tb 10.606 -0.761 5.753
Dy 3.864 2.328 8.718
Dy 5.705 2.629 3.376
Dy 8.474 2.629 1.102
Dy 4.804 0.402 5.970
Dy 8.808 2.328 4.718
Dy 5.557 -0.402 1.491
Dy 7.869 0.402 7.466
Dy 4.617 -2.328 4.239
Dy 8.622 -0.402 2.988
Dy 4.952 -2.629 7.855
Dy 7.721 -2.629 5.581
Dy 9.561 -2.328 0.239
Cd 6.336 3.139 6.718
Cd 7.089 -3.139 2.239
```

=====

Model two:
The following is a DFT calculation (PBE) of crystalline Tb2Dy6Cd at its relaxed geometry. Values from VASP.

Cell and atoms, written as Quantum ESPRESSO input:
```
&SYSTEM
  ibrav = 0, nat = 18, ntyp = 3
/
ATOMIC_SPECIES
Tb 158.93 Tb.upf
Dy 162.50 Dy.upf
Cd 112.41 Cd.upf
CELL_PARAMETERS angstrom
10.480 0.000 0.000
0.000 10.480 0.000
0.000 0.000 4.967
ATOMIC_POSITIONS angstrom
Tb 1.722 1.722 0.000
Tb 3.518 6.962 2.484
Tb 6.962 3.518 2.484
Tb 8.758 8.758 0.000
Dy 10.480 3.488 2.484
Dy 0.000 6.992 2.484
Dy 1.725 8.755 0.000
Dy 1.752 5.240 0.000
Dy 3.488 10.480 2.484
Dy 3.515 3.515 2.484
Dy 5.240 1.752 0.000
Dy 5.240 8.729 0.000
Dy 6.965 6.965 2.484
Dy 6.992 0.000 2.484
Dy 8.729 5.240 0.000
Dy 8.755 1.725 0.000
Cd 0.000 0.000 2.484
Cd 5.240 5.240 0.000
```

=====

It comes down to model two, which is 0.110 eV/atom more stable than the next structure.

=====

Model one:
The following is a DFT calculation (PBE) of crystalline Tb3Dy2Cd at its relaxed geometry. Values from VASP.

Cell and atoms, written as Quantum ESPRESSO input:
```
&SYSTEM
  ibrav = 0, nat = 6, ntyp = 3
/
ATOMIC_SPECIES
Tb 158.93 Tb.upf
Dy 162.50 Dy.upf
Cd 112.41 Cd.upf
CELL_PARAMETERS angstrom
3.567 0.000 0.000
0.000 3.567 0.000
0.000 0.000 14.166
ATOMIC_POSITIONS angstrom
Tb 0.000 0.000 0.000
Tb 0.000 0.000 4.993
Tb 0.000 0.000 9.173
Dy 1.783 1.783 2.502
Dy 1.783 1.783 11.664
Cd 1.783 1.783 7.083
```

=====

Model two:
The following is a DFT calculation (PBE) of crystalline Tb3Dy2Cd at its relaxed geometry. Values from VASP.

Cell and atoms, written as Quantum ESPRESSO input:
```
&SYSTEM
  ibrav = 0, nat = 6, ntyp = 3
/
ATOMIC_SPECIES
Tb 158.93 Tb.upf
Dy 162.50 Dy.upf
Cd 112.41 Cd.upf
CELL_PARAMETERS angstrom
-1.727 8.483 3.238
1.727 -8.483 3.238
1.727 8.483 -3.238
ATOMIC_POSITIONS angstrom
Tb 0.000 0.000 0.000
Tb 1.727 -2.274 1.965
Tb 1.727 2.274 1.965
Dy 0.000 5.224 1.985
Dy 0.000 11.741 1.985
Cd 0.000 8.483 0.677
```

=====

It comes down to model one, which is 0.250 eV/atom more stable than the next structure.

=====

Model one:
The following is a DFT calculation (PBE) of crystalline Tb2DyCd2 at its relaxed geometry. Values from VASP.

Cell and atoms, written as Quantum ESPRESSO input:
```
&SYSTEM
  ibrav = 0, nat = 5, ntyp = 3
/
ATOMIC_SPECIES
Tb 158.93 Tb.upf
Dy 162.50 Dy.upf
Cd 112.41 Cd.upf
CELL_PARAMETERS angstrom
-2.505 3.435 4.110
2.505 -3.435 4.110
2.505 3.435 -4.110
ATOMIC_POSITIONS angstrom
Tb 0.000 0.000 1.626
Tb 0.000 0.000 6.595
Dy 0.000 3.435 0.000
Cd 2.505 1.439 0.000
Cd 0.000 1.996 4.110
```

=====

Model two:
The following is a DFT calculation (PBE) of crystalline Tb2DyCd2 at its relaxed geometry. Values from VASP.

Cell and atoms, written as Quantum ESPRESSO input:
```
&SYSTEM
  ibrav = 0, nat = 10, ntyp = 3
/
ATOMIC_SPECIES
Tb 158.93 Tb.upf
Dy 162.50 Dy.upf
Cd 112.41 Cd.upf
CELL_PARAMETERS angstrom
3.728 0.000 0.000
0.000 5.350 0.000
-1.867 0.000 13.783
ATOMIC_POSITIONS angstrom
Tb 0.002 1.337 1.245
Tb -0.003 1.337 6.498
Tb 1.865 4.012 7.285
Tb 1.860 4.012 12.538
Dy 0.001 4.012 4.105
Dy 1.861 1.337 9.677
Cd -0.002 4.012 9.913
Cd -0.003 1.337 12.338
Cd 1.865 4.012 1.444
Cd 1.864 1.337 3.870
```

=====

It comes down to model two, which is 0.095 eV/atom more stable than the next structure.

=====

Model one:
The following is a DFT calculation (PBE) of crystalline Tb5Dy2Cd at its relaxed geometry. Values from VASP.

Cell and atoms, written as Quantum ESPRESSO input:
```
&SYSTEM
  ibrav = 0, nat = 8, ntyp = 3
/
ATOMIC_SPECIES
Tb 158.93 Tb.upf
Dy 162.50 Dy.upf
Cd 112.41 Cd.upf
CELL_PARAMETERS angstrom
3.705 -5.750 0.000
3.705 5.750 0.000
-3.705 0.000 5.751
ATOMIC_POSITIONS angstrom
Tb 0.000 0.000 0.000
Tb 3.707 -3.158 2.588
Tb 3.707 3.158 2.588
Tb 0.005 0.000 5.178
Tb 2.326 0.000 2.585
Dy 1.805 2.879 5.462
Dy 1.805 -2.879 5.462
Cd 5.442 0.000 2.592
```

=====

Model two:
The following is a DFT calculation (PBE) of crystalline Tb5Dy2Cd at its relaxed geometry. Values from VASP.

Cell and atoms, written as Quantum ESPRESSO input:
```
&SYSTEM
  ibrav = 0, nat = 16, ntyp = 3
/
ATOMIC_SPECIES
Tb 158.93 Tb.upf
Dy 162.50 Dy.upf
Cd 112.41 Cd.upf
CELL_PARAMETERS angstrom
3.579 0.000 0.000
1.789 7.328 0.000
0.013 0.279 18.535
ATOMIC_POSITIONS angstrom
Tb 0.900 3.315 1.852
Tb 0.913 2.461 5.173
Tb 0.899 0.712 12.319
Tb 2.674 7.198 15.637
Tb 2.696 4.258 7.637
Tb 2.686 3.349 10.898
Tb 2.708 0.409 2.899
Tb 4.483 6.895 6.216
Tb 4.469 5.146 13.363
Tb 4.482 4.292 16.683
Dy 0.908 1.463 8.585
Dy 2.688 5.934 0.410
Dy 2.694 1.673 18.126
Dy 4.474 6.144 9.951
Cd 2.698 5.100 4.037
Cd 2.684 2.507 14.498
```

=====

It comes down to model two, which is 0.037 eV/atom more stable than the next structure.

=====

Model one:
The following is a DFT calculation (PBE) of crystalline TbDy2Cd2 at its relaxed geometry. Values from VASP.

Cell and atoms, written as Quantum ESPRESSO input:
```
&SYSTEM
  ibrav = 0, nat = 10, ntyp = 3
/
ATOMIC_SPECIES
Tb 158.93 Tb.upf
Dy 162.50 Dy.upf
Cd 112.41 Cd.upf
CELL_PARAMETERS angstrom
3.722 0.000 0.000
0.000 5.352 0.000
-1.864 0.000 13.750
ATOMIC_POSITIONS angstrom
Tb 0.002 1.338 4.092
Tb 1.857 4.014 9.657
Dy 0.001 4.014 1.251
Dy -0.003 4.014 6.490
Dy 1.861 1.338 7.260
Dy 1.857 1.338 12.499
Cd -0.003 1.338 9.879
Cd -0.003 4.014 12.340
Cd 1.862 1.338 1.409
Cd 1.861 4.014 3.870
```

=====

Model two:
The following is a DFT calculation (PBE) of crystalline TbDy2Cd2 at its relaxed geometry. Values from VASP.

Cell and atoms, written as Quantum ESPRESSO input:
```
&SYSTEM
  ibrav = 0, nat = 10, ntyp = 3
/
ATOMIC_SPECIES
Tb 158.93 Tb.upf
Dy 162.50 Dy.upf
Cd 112.41 Cd.upf
CELL_PARAMETERS angstrom
2.702 -7.998 0.000
2.702 7.998 0.000
0.000 0.000 6.413
ATOMIC_POSITIONS angstrom
Tb 2.702 6.637 3.206
Tb 2.702 -6.637 0.000
Dy 2.702 3.110 4.767
Dy 2.702 0.516 2.106
Dy 2.702 -0.516 5.313
Dy 2.702 -3.110 1.560
Cd 2.702 6.119 0.034
Cd 2.702 3.475 1.562
Cd 2.702 -3.475 4.769
Cd 2.702 -6.119 3.240
```

=====

It comes down to model one, which is 0.082 eV/atom more stable than the next structure.

=====

Model one:
The following is a DFT calculation (PBE) of crystalline Tb4Dy5Cd at its relaxed geometry. Values from VASP.

Cell and atoms, written as Quantum ESPRESSO input:
```
&SYSTEM
  ibrav = 0, nat = 10, ntyp = 3
/
ATOMIC_SPECIES
Tb 158.93 Tb.upf
Dy 162.50 Dy.upf
Cd 112.41 Cd.upf
CELL_PARAMETERS angstrom
-5.293 5.293 2.865
5.293 -5.293 2.865
5.293 5.293 -2.865
ATOMIC_POSITIONS angstrom
Tb 3.386 0.000 0.000
Tb 7.200 0.000 0.000
Tb 0.000 3.386 0.000
Tb 0.000 7.200 0.000
Dy 3.337 3.337 0.059
Dy 1.956 -1.956 2.924
Dy -1.956 1.956 2.924
Dy 1.956 1.956 2.924
Dy 0.000 0.000 4.601
Cd 0.000 0.000 1.621
```

=====

Model two:
The following is a DFT calculation (PBE) of crystalline Tb4Dy5Cd at its relaxed geometry. Values from VASP.

Cell and atoms, written as Quantum ESPRESSO input:
```
&SYSTEM
  ibrav = 0, nat = 10, ntyp = 3
/
ATOMIC_SPECIES
Tb 158.93 Tb.upf
Dy 162.50 Dy.upf
Cd 112.41 Cd.upf
CELL_PARAMETERS angstrom
4.090 0.000 0.000
0.000 4.090 0.000
0.000 0.000 18.343
ATOMIC_POSITIONS angstrom
Tb 0.000 0.000 1.851
Tb 0.000 0.000 5.514
Tb 0.000 0.000 12.829
Tb 0.000 0.000 16.492
Dy 2.045 2.045 0.000
Dy 2.045 2.045 3.727
Dy 2.045 2.045 7.485
Dy 2.045 2.045 10.858
Dy 2.045 2.045 14.616
Cd 0.000 0.000 9.171
```

=====

It comes down to model two, which is 0.080 eV/atom more stable than the next structure.

=====

Model one:
The following is a DFT calculation (PBE) of crystalline Tb2Dy8Cd at its relaxed geometry. Values from VASP.

Cell and atoms, written as Quantum ESPRESSO input:
```
&SYSTEM
  ibrav = 0, nat = 11, ntyp = 3
/
ATOMIC_SPECIES
Tb 158.93 Tb.upf
Dy 162.50 Dy.upf
Cd 112.41 Cd.upf
CELL_PARAMETERS angstrom
-2.727 3.738 8.569
2.727 -3.738 8.569
2.727 3.738 -8.569
ATOMIC_POSITIONS angstrom
Tb 0.000 0.000 3.304
Tb 0.000 0.000 13.834
Dy 2.727 1.747 -2.334
Dy 0.000 1.824 0.000
Dy 2.727 0.000 5.444
Dy 2.727 1.747 2.334
Dy 0.000 1.992 6.235
Dy 0.000 3.738 3.125
Dy 0.000 5.653 0.000
Dy 0.000 1.992 10.903
Cd 0.000 0.000 8.569
```

=====

Model two:
The following is a DFT calculation (PBE) of crystalline Tb2Dy8Cd at its relaxed geometry. Values from VASP.

Cell and atoms, written as Quantum ESPRESSO input:
```
&SYSTEM
  ibrav = 0, nat = 11, ntyp = 3
/
ATOMIC_SPECIES
Tb 158.93 Tb.upf
Dy 162.50 Dy.upf
Cd 112.41 Cd.upf
CELL_PARAMETERS angstrom
6.073 0.000 0.000
1.045 5.991 0.000
0.986 -0.165 9.216
ATOMIC_POSITIONS angstrom
Tb 1.554 0.785 2.488
Tb 6.551 5.042 6.727
Dy 1.509 1.806 5.888
Dy 3.534 5.599 8.386
Dy 3.564 4.550 5.008
Dy 3.549 3.521 1.640
Dy 4.556 2.305 7.576
Dy 4.541 1.276 4.208
Dy 4.571 0.227 0.829
Dy 6.595 4.020 3.328
Cd 0.523 2.996 0.000
```

=====

It comes down to model two, which is 0.055 eV/atom more stable than the next structure.

=====

Model one:
The following is a DFT calculation (PBE) of crystalline Tb3Dy2Cd2 at its relaxed geometry. Values from VASP.

Cell and atoms, written as Quantum ESPRESSO input:
```
&SYSTEM
  ibrav = 0, nat = 7, ntyp = 3
/
ATOMIC_SPECIES
Tb 158.93 Tb.upf
Dy 162.50 Dy.upf
Cd 112.41 Cd.upf
CELL_PARAMETERS angstrom
2.531 -11.408 0.000
2.531 11.408 0.000
0.000 0.000 3.469
ATOMIC_POSITIONS angstrom
Tb 0.000 0.000 0.000
Tb 2.531 8.077 0.000
Tb 2.531 -8.077 0.000
Dy 2.531 4.795 1.734
Dy 2.531 -4.795 1.734
Cd 2.531 1.568 1.734
Cd 2.531 -1.568 1.734
```

=====

Model two:
The following is a DFT calculation (PBE) of crystalline Tb3Dy2Cd2 at its relaxed geometry. Values from VASP.

Cell and atoms, written as Quantum ESPRESSO input:
```
&SYSTEM
  ibrav = 0, nat = 7, ntyp = 3
/
ATOMIC_SPECIES
Tb 158.93 Tb.upf
Dy 162.50 Dy.upf
Cd 112.41 Cd.upf
CELL_PARAMETERS angstrom
2.693 1.555 7.958
-2.693 1.555 7.958
0.000 -3.110 7.958
ATOMIC_POSITIONS angstrom
Tb 0.000 0.000 0.000
Tb 0.000 0.000 3.745
Tb 0.000 0.000 20.130
Dy 0.000 0.000 10.167
Dy 0.000 0.000 13.707
Cd 0.000 0.000 6.889
Cd 0.000 0.000 16.985
```

=====

It comes down to model two, which is 0.107 eV/atom more stable than the next structure.